# 1
The following is a DFT calculation (PBE) of an optimized crystal structure of KRb4Ba.

Unit cell a=12.6284 b=12.6284 c=12.6284 alpha=90.00 beta=90.00 gamma=90.00
Space group F-43m (No. 216)
One atom of each set of equivalent atoms:
K 0.0000 0.0000 0.0000 [4 per cell]
Rb 0.1249 0.1249 0.3751 [16 per cell]
Ba 0.2500 0.2500 0.7500 [4 per cell]

Summary:
* DOS at the Fermi energy: 1.167 states/eV/atom
* E: -0.0747 Ry/atom

=====

# 2
The following is a DFT calculation (PBE) of an optimized crystal structure of PaTeO5.

Unit cell a=5.5880 b=5.6594 c=7.7945 alpha=69.24 beta=70.41 gamma=72.95
Space group P-1 (No. 2)
One atom of each set of equivalent atoms:
Pa 0.0279 0.4619 0.2477 [2 per cell]
Te 0.5000 0.0000 0.0000 [1 per cell]
Te 0.5000 0.0000 0.5000 [1 per cell]
O 0.1742 0.3041 0.9751 [2 per cell]
O 0.2197 0.2966 0.5429 [2 per cell]
O 0.2427 0.7785 0.6231 [2 per cell]
O 0.2685 0.7080 0.1368 [2 per cell]
O 0.4030 0.0921 0.2638 [2 per cell]

Summary:
* E_form (uncorrected): -2236 meV per atom
* E: -0.5574 Ry/atom

=====

# 3
The following is a DFT calculation (PBE) of an optimized crystal structure of PuTl6O8.

Unit cell a=10.6205 b=10.6205 c=10.6205 alpha=90.00 beta=90.00 gamma=90.00
Space group Fm-3m (No. 225)
One atom of each set of equivalent atoms:
Pu 0.0000 0.0000 0.0000 [4 per cell]
Tl 0.0000 0.2500 0.2500 [24 per cell]
O 0.0000 0.0000 0.1924 [24 per cell]
O 0.2500 0.2500 0.2500 [8 per cell]

Summary:
* E_form (uncorrected): -1041 meV per atom
* DOS at the Fermi energy: 0.631 states/eV/atom
* E: -0.4106 Ry/atom

=====

# 4
The following is a DFT calculation (PBE) of an optimized crystal structure of GaHg2CS.

Unit cell a=5.1945 b=5.1945 c=5.8226 alpha=90.00 beta=90.00 gamma=90.00
Space group P4/mmm (No. 123)
One atom of each set of equivalent atoms:
Ga 0.0000 0.0000 0.0000 [1 per cell]
Hg 0.0000 0.5000 0.5000 [2 per cell]
C 0.5000 0.5000 0.0000 [1 per cell]
S 0.0000 0.0000 0.5000 [1 per cell]

Summary:
* E_form (uncorrected): 1552 meV per atom
* DOS at the Fermi energy: 0.265 states/eV/atom
* E: -0.1355 Ry/atom

=====

# 5
The following is a DFT calculation (PBE) of an optimized crystal structure of BaNa2CuNi.

Unit cell a=5.1429 b=5.1429 c=6.1368 alpha=90.00 beta=90.00 gamma=90.00
Space group P4/mmm (No. 123)
One atom of each set of equivalent atoms:
Ba 0.0000 0.0000 0.0000 [1 per cell]
Na 0.0000 0.5000 0.5000 [2 per cell]
Cu 0.0000 0.0000 0.5000 [1 per cell]
Ni 0.5000 0.5000 0.0000 [1 per cell]

Summary:
* DOS at the Fermi energy: 0.919 states/eV/atom
* E: -0.1693 Ry/atom

=====

# 6
The following is a DFT calculation (PBE) of an optimized crystal structure of CaCrPt2.

Unit cell a=7.8603 b=2.9320 c=6.7646 alpha=90.00 beta=98.70 gamma=90.00
Space group C2/m (No. 12)
One atom of each set of equivalent atoms:
Ca 0.0000 0.0000 0.0000 [2 per cell]
Cr 0.0000 0.5000 0.5000 [2 per cell]
Pt 0.2436 0.0000 0.6971 [4 per cell]

Summary:
* offset from the most stable computed form: 0.231 eV/atom
* DOS at the Fermi energy: 0.737 states/eV/atom
* E: -0.4492 Ry/atom

=====

# 7
The following is a DFT calculation (PBE) of an optimized crystal structure of YInPb2Cl8.

Unit cell a=6.5690 b=8.9297 c=6.8523 alpha=90.00 beta=90.82 gamma=90.00
Space group P2/m (No. 10)
One atom of each set of equivalent atoms:
Y 0.0000 0.0000 0.0000 [1 per cell]
In 0.0000 0.5000 0.0000 [1 per cell]
Pb 0.5000 0.2507 0.5000 [2 per cell]
Cl 0.2279 0.2142 0.1603 [4 per cell]
Cl 0.2461 0.0000 0.6886 [2 per cell]
Cl 0.2784 0.5000 0.6399 [2 per cell]

Summary:
* E_form (uncorrected): -1465 meV per atom
* DOS at the Fermi energy: 0.000 states/eV/atom
* E: -0.3000 Ry/atom

=====

# 8
The following is a DFT calculation (PBE) of an optimized crystal structure of Y3IrRh.

Unit cell a=18.1953 b=8.5180 c=6.5325 alpha=90.00 beta=110.92 gamma=90.00
Space group C2/c (No. 15)
One atom of each set of equivalent atoms:
Y 0.0483 0.2445 0.0473 [8 per cell]
Y 0.1450 0.3944 0.6809 [8 per cell]
Y 0.1854 0.0385 0.4448 [8 per cell]
Ir 0.2137 0.2990 0.1618 [8 per cell]
Rh 0.0000 0.0030 0.2500 [4 per cell]
Rh 0.0000 0.4998 0.2500 [4 per cell]

Summary:
* offset from the most stable computed form: 0.000 eV/atom
* DOS at the Fermi energy: 0.754 states/eV/atom
* E: -0.5736 Ry/atom

=====

# 9
The following is a DFT calculation (PBE) of an optimized crystal structure of AcPrSbS.

Unit cell a=5.1115 b=5.1115 c=10.4206 alpha=90.00 beta=90.00 gamma=90.00
Space group P4/nmm (No. 129, origin choice 2)
One atom of each set of equivalent atoms:
Ac 0.2500 0.2500 0.1386 [2 per cell]
Pr 0.2500 0.7500 0.5000 [2 per cell]
Sb 0.2500 0.2500 0.6854 [2 per cell]
S 0.2500 0.7500 0.0000 [2 per cell]

Summary:
* E_form (uncorrected): -1315 meV per atom
* DOS at the Fermi energy: 0.614 states/eV/atom
* E: -0.4115 Ry/atom

=====

# 10
The following is a DFT calculation (PBE) of an optimized crystal structure of AlTl2Pb.

Unit cell a=12.0341 b=3.4702 c=5.6511 alpha=90.00 beta=109.87 gamma=90.00
Space group C2/m (No. 12)
One atom of each set of equivalent atoms:
Al 0.0000 0.0000 0.0000 [2 per cell]
Tl 0.2292 0.5000 0.2326 [4 per cell]
Pb 0.0000 0.5000 0.5000 [2 per cell]

Summary:
* offset from the most stable computed form: 0.044 eV/atom
* DOS at the Fermi energy: 0.475 states/eV/atom
* E: -0.2114 Ry/atom

=====

# 11
The following is a DFT calculation (PBE) of an optimized crystal structure of ZnCd2Hg2.

Unit cell a=4.0943 b=4.0943 c=15.4146 alpha=90.00 beta=90.00 gamma=90.00
Space group I4/mmm (No. 139)
One atom of each set of equivalent atoms:
Zn 0.0000 0.0000 0.0000 [2 per cell]
Cd 0.0000 0.5000 0.2500 [4 per cell]
Hg 0.0000 0.0000 0.4060 [4 per cell]

Summary:
* offset from the most stable computed form: 0.125 eV/atom
* DOS at the Fermi energy: 0.239 states/eV/atom
* E: -0.0419 Ry/atom

=====

# 12
The following is a DFT calculation (PBE) of an optimized crystal structure of LiHf2Mg.

Unit cell a=7.7735 b=7.7735 c=5.4903 alpha=90.00 beta=90.00 gamma=90.00
Space group I-42d (No. 122)
One atom of each set of equivalent atoms:
Li 0.0000 0.0000 0.0000 [4 per cell]
Hf 0.2240 0.2500 0.1250 [8 per cell]
Mg 0.0000 0.0000 0.5000 [4 per cell]

Summary:
* DOS at the Fermi energy: 0.707 states/eV/atom
* E: -0.3867 Ry/atom